(1)
# PBE-GGA K2ScAu, relaxed
# Symmetry: R-3m, No. 166
# Energy above the lowest structure with this stoichiometry in eV/atom: 0.441
data_K2ScAu
_cell_length_a 3.7391
_cell_length_b 3.7391
_cell_length_c 35.1775
_cell_angle_alpha 90.00
_cell_angle_beta 90.00
_cell_angle_gamma 120.00
_symmetry_space_group_name_H-M 'P 1'
_symmetry_Int_Tables_number 1
_symmetry_space_group_name_Hall 'P 1'
loop_
_atom_site_label
_atom_site_type_symbol
_atom_site_fract_x
_atom_site_fract_y
_atom_site_fract_z
_atom_site_occupancy
K1 K 0.0000 0.0000 0.2345 1
K2 K 0.0000 0.0000 0.7655 1
K3 K 0.3333 0.6667 0.4321 1
K4 K 0.3333 0.6667 0.9012 1
K5 K 0.6667 0.3333 0.0988 1
K6 K 0.6667 0.3333 0.5679 1
Sc1 Sc 0.0000 0.0000 0.0000 1
Sc2 Sc 0.3333 0.6667 0.6667 1
Sc3 Sc 0.6667 0.3333 0.3333 1
Au1 Au 0.0000 0.0000 0.5000 1
Au2 Au 0.3333 0.6667 0.1667 1
Au3 Au 0.6667 0.3333 0.8333 1


(2)
# PBE-GGA Zr2BiRh2, relaxed
# Symmetry: P4/mbm, No. 127
# Energy above the lowest structure with this stoichiometry in eV/atom: 0.000
data_Zr2BiRh2
_cell_length_a 7.7430
_cell_length_b 7.7430
_cell_length_c 3.3111
_cell_angle_alpha 90.00
_cell_angle_beta 90.00
_cell_angle_gamma 90.00
_symmetry_space_group_name_H-M 'P 1'
_symmetry_Int_Tables_number 1
_symmetry_space_group_name_Hall 'P 1'
loop_
_atom_site_label
_atom_site_type_symbol
_atom_site_fract_x
_atom_site_fract_y
_atom_site_fract_z
_atom_site_occupancy
Zr1 Zr 0.1608 0.3392 0.0000 1
Zr2 Zr 0.3392 0.8392 0.0000 1
Zr3 Zr 0.6608 0.1608 0.0000 1
Zr4 Zr 0.8392 0.6608 0.0000 1
Bi1 Bi 0.0000 0.0000 0.5000 1
Bi2 Bi 0.5000 0.5000 0.5000 1
Rh1 Rh 0.1301 0.6301 0.5000 1
Rh2 Rh 0.3699 0.1301 0.5000 1
Rh3 Rh 0.6301 0.8699 0.5000 1
Rh4 Rh 0.8699 0.3699 0.5000 1


Among the records above, which one has the lowest energy above the lowest structure with this stoichiometry? Zr2BiRh2


Copy entry 1 word for word.
# PBE-GGA K2ScAu, relaxed
# Symmetry: R-3m, No. 166
# Energy above the lowest structure with this stoichiometry in eV/atom: 0.441
data_K2ScAu
_cell_length_a 3.7391
_cell_length_b 3.7391
_cell_length_c 35.1775
_cell_angle_alpha 90.00
_cell_angle_beta 90.00
_cell_angle_gamma 120.00
_symmetry_space_group_name_H-M 'P 1'
_symmetry_Int_Tables_number 1
_symmetry_space_group_name_Hall 'P 1'
loop_
_atom_site_label
_atom_site_type_symbol
_atom_site_fract_x
_atom_site_fract_y
_atom_site_fract_z
_atom_site_occupancy
K1 K 0.0000 0.0000 0.2345 1
K2 K 0.0000 0.0000 0.7655 1
K3 K 0.3333 0.6667 0.4321 1
K4 K 0.3333 0.6667 0.9012 1
K5 K 0.6667 0.3333 0.0988 1
K6 K 0.6667 0.3333 0.5679 1
Sc1 Sc 0.0000 0.0000 0.0000 1
Sc2 Sc 0.3333 0.6667 0.6667 1
Sc3 Sc 0.6667 0.3333 0.3333 1
Au1 Au 0.0000 0.0000 0.5000 1
Au2 Au 0.3333 0.6667 0.1667 1
Au3 Au 0.6667 0.3333 0.8333 1